1.
Below is Rb3AlS3 after structural relaxation, with properties calculated at the PBE level.

Summary:
- Energy relative to the elements, uncorrected: -1.108 eV per atom
- ΔE to the lowest computed polymorph: 148 meV per atom
- Space group: No. 63

```
Rb3AlS3
1.0
4.944 -8.537 0.000
4.944 8.537 0.000
0.000 0.000 6.677
Rb Al S
6 2 6
Cartesian
4.944 5.457 5.008
2.688 1.542 5.008
2.688 -1.542 1.669
7.200 1.542 5.008
7.200 -1.542 1.669
4.944 -5.457 1.669
4.944 2.851 1.669
4.944 -2.851 5.008
4.944 5.037 1.669
3.053 1.754 1.669
3.053 -1.754 5.008
6.835 1.754 1.669
6.835 -1.754 5.008
4.944 -5.037 5.008
```

---

2.
Below is LiDy2ScO5 after structural relaxation, with properties calculated at the PBE level.

Summary:
- Energy relative to the elements, uncorrected: -3.182 eV per atom
- Space group: No. 36

```
LiDy2ScO5
1.0
1.622 -6.555 0.000
1.622 6.555 0.000
0.000 0.000 9.680
Li Dy Sc O
2 4 2 10
Cartesian
1.622 6.312 4.840
1.622 -6.312 0.000
1.622 1.660 3.080
1.622 1.406 6.825
1.622 -1.406 1.985
1.622 -1.660 7.920
1.622 2.607 0.237
1.622 -2.607 5.077
1.622 6.539 7.768
1.622 4.754 0.240
1.622 4.005 3.693
1.622 3.747 6.579
1.622 0.684 0.820
1.622 -0.684 5.660
1.622 -3.747 1.739
1.622 -4.005 8.533
1.622 -4.754 5.081
1.622 -6.539 2.928
```

---

3.
Below is PIr2 after structural relaxation, with properties calculated at the PBE level.

Summary:
- Space group: No. 36
- DFT formation energy: -151 meV per atom

```
PIr2
1.0
1.388 -5.718 0.000
1.388 5.718 0.000
0.000 0.000 5.559
P Ir
2 4
Cartesian
1.388 3.637 2.780
1.388 -3.637 0.000
1.388 3.978 0.511
1.388 0.562 1.159
1.388 -0.562 3.939
1.388 -3.978 3.290
```

---

4.
Below is Pu2Si3Ir after structural relaxation, with properties calculated at the PBE level.

Summary:
- Energy relative to the elements, uncorrected: -0.626 eV per atom
- Space group: No. 69

```
Pu2Si3Ir
1.0
0.000 4.109 7.057
3.991 0.000 7.057
3.991 4.109 0.000
Pu Si Ir
4 6 2
Cartesian
6.024 4.109 7.057
1.996 2.054 3.528
5.987 6.163 10.585
1.958 4.109 7.057
3.991 2.091 5.889
3.991 4.109 4.721
3.991 2.091 8.224
3.991 6.127 5.889
3.991 4.109 9.392
3.991 6.127 8.224
3.991 4.109 2.327
3.991 4.109 11.786
```